The following is a PBE-GGA calculation of crystalline AsIrCSe2 at its relaxed geometry, from Alexandria via LeMat-Bulk.

```
AsIrCSe2
1.0
4.3146 0.0000 0.0000
0.0000 4.3146 0.0000
0.0000 0.0000 4.1669
As Ir C Se
1 1 1 2
direct
0.0000 0.0000 0.0000
0.5000 0.5000 0.0000
0.0000 0.0000 0.5000
0.0000 0.5000 0.5000
0.5000 0.0000 0.5000
```

Output
Energy above the most stable polymorph in this dataset: 0.000 kcal/mol of atoms
Size of the total moment: 0.00 μB per formula unit
DOS(E_F): 0.572 states/eV per atom
Calculated volume: 15.51 Å³ per atom
E_tot: -23.3 eV for the cell shown



The following is a PBE-GGA calculation of crystalline LiPu2Tl3Te6 at its relaxed geometry, from Alexandria via LeMat-Bulk.

```
LiPu2Tl3Te6
1.0
3.8455 -6.6615 0.0000
3.8455 6.6615 0.0000
-2.5445 0.0000 8.0331
Li Pu Tl Te
1 2 3 6
direct
0.0000 0.0000 0.0000
0.3328 0.6672 0.0000
0.6672 0.3328 0.0000
0.1657 0.8343 0.5000
0.5000 0.5000 0.5000
0.8343 0.1657 0.5000
0.0711 0.4114 0.2135
0.2693 0.2693 0.7917
0.4114 0.0711 0.2135
0.5886 0.9289 0.7865
0.7307 0.7307 0.2083
0.9289 0.5886 0.7865
```

Output
Size of the total moment: 8.20 μB per formula unit
DOS(E_F): 1.830 states/eV per atom
Calculated volume: 34.30 Å³ per atom
E_tot: -64.5 eV for the cell shown



The following is a PBE-GGA calculation of crystalline K2NaZn3Cd12 at its relaxed geometry, from Alexandria via LeMat-Bulk.

```
K2NaZn3Cd12
1.0
5.0071 2.8908 6.3106
-5.0071 2.8908 6.3106
0.0000 -5.7817 6.3106
K Na Zn Cd
2 1 3 12
direct
0.0959 0.0959 0.0959
0.9041 0.9041 0.9041
0.5000 0.5000 0.5000
0.0000 0.5000 0.5000
0.5000 0.0000 0.5000
0.5000 0.5000 0.0000
0.1300 0.6469 0.6469
0.2149 0.2149 0.6458
0.2149 0.6458 0.2149
0.3531 0.3531 0.8700
0.3531 0.8700 0.3531
0.3542 0.7851 0.7851
0.6458 0.2149 0.2149
0.6469 0.1300 0.6469
0.6469 0.6469 0.1300
0.7851 0.3542 0.7851
0.7851 0.7851 0.3542
0.8700 0.3531 0.3531
```

Output
Size of the total moment: 0.00 μB per formula unit
DOS(E_F): 0.477 states/eV per atom
Calculated volume: 30.45 Å³ per atom
E_tot: -15.4 eV for the cell shown



The following is a PBE-GGA calculation of crystalline PbAuF5 at its relaxed geometry, from Alexandria via LeMat-Bulk.

```
PbAuF5
1.0
3.8055 -4.9239 0.0000
3.8055 4.9239 0.0000
-1.5885 0.0000 7.2022
Pb Au F
2 2 10
direct
0.1396 0.8604 0.7500
0.8604 0.1396 0.2500
0.5000 0.5000 0.0000
0.5000 0.5000 0.5000
0.0000 0.0000 0.0000
0.0000 0.0000 0.5000
0.1930 0.4868 0.3810
0.2087 0.4773 0.8481
0.4773 0.2087 0.3481
0.4868 0.1930 0.8810
0.5132 0.8070 0.1190
0.5227 0.7913 0.6519
0.7913 0.5227 0.1519
0.8070 0.5132 0.6190
```

Output
Size of the total moment: 0.00 μB per formula unit
Calculated volume: 19.28 Å³ per atom
E_tot: -55.6 eV for the cell shown



The following is a PBE-GGA calculation of crystalline Pm2PrDy7 at its relaxed geometry, from Alexandria via LeMat-Bulk.

```
Pm2PrDy7
1.0
4.2962 -8.8266 0.0000
4.2962 8.8266 0.0000
0.0000 0.0000 5.1384
Pm Pr Dy
2 1 7
direct
0.2017 0.7983 0.0000
0.7983 0.2017 0.0000
0.5000 0.5000 0.5000
0.0000 0.0000 0.0000
0.2107 0.4265 0.0000
0.3029 0.6971 0.5000
0.4265 0.2107 0.0000
0.5735 0.7893 0.0000
0.6971 0.3029 0.5000
0.7893 0.5735 0.0000
```

Output
Energy above the most stable polymorph in this dataset: 15.366 kcal/mol of atoms
Size of the total moment: 0.00 μB per formula unit
DOS(E_F): 1.458 states/eV per atom
Calculated volume: 38.97 Å³ per atom
E_tot: -39.7 eV for the cell shown



The following is a PBE-GGA calculation of crystalline KGe2F6 at its relaxed geometry, from Alexandria via LeMat-Bulk.

```
KGe2F6
1.0
5.3425 -4.5420 0.0000
5.3425 4.5420 0.0000
-2.7709 0.0000 6.3794
K Ge F
2 4 12
direct
0.0564 0.9436 0.7500
0.9436 0.0564 0.2500
0.2220 0.5064 0.2312
0.4936 0.7780 0.2688
0.5064 0.2220 0.7312
0.7780 0.4936 0.7688
0.0188 0.3362 0.0795
0.0647 0.6952 0.3760
0.3048 0.9353 0.1240
0.3273 0.3699 0.4336
0.3362 0.0188 0.5795
0.3699 0.3273 0.9336
0.6301 0.6727 0.0664
0.6638 0.9812 0.4205
0.6727 0.6301 0.5664
0.6952 0.0647 0.8760
0.9353 0.3048 0.6240
0.9812 0.6638 0.9205
```

Output
Size of the total moment: 0.00 μB per formula unit
DOS(E_F): 0.127 states/eV per atom
Calculated volume: 17.20 Å³ per atom
E_tot: -85.0 eV for the cell shown